VASP calculation (GGA-PBE) on an optimized crystal structure of In2Ni9.

Properties
* energy: -4.75 eV per atom
* magnetization: 4.889 μB per cell

```
11
Lattice="-0.913 2.175 1.260 -1.642 -1.438 -1.546 -8.480 -19.016 26.682" Properties=species:S:1:pos:R:3 pbc="T T T"
In -2.906 -2.954 5.832
In -8.129 -15.324 20.564
Ni -3.724 -5.448 6.706
Ni -2.804 -6.287 8.822
Ni -4.435 -6.381 10.641
Ni -5.163 -8.674 11.233
Ni -4.240 -9.508 13.341
Ni -5.872 -9.604 15.163
Ni -6.600 -11.897 15.754
Ni -5.676 -12.729 17.860
Ni -7.311 -12.830 19.690
```

VASP calculation (GGA-PBE) on an optimized crystal structure of BiAuNO.

Properties
* energy: -4.81 eV per atom
* offset from the most stable computed form: 230 meV per atom

```
16
Lattice="-5.589 1.562 -0.525 -1.730 -6.228 -0.115 -0.635 0.049 6.902" Properties=species:S:1:pos:R:3 pbc="T T T"
Au -0.492 -0.474 1.324
Au -3.849 -1.720 1.024
Au -1.742 -3.558 5.460
Au -5.100 -4.804 5.160
Bi -1.638 -3.278 2.098
Bi -5.123 -4.983 1.790
Bi -1.002 -0.146 4.644
Bi -4.487 -1.851 4.336
N -5.184 -2.694 2.252
N -2.875 -5.222 2.482
N -4.460 0.432 3.838
N -2.151 -2.097 4.069
O -2.465 -0.415 0.259
O -5.560 -0.716 -0.023
O -3.877 -3.487 6.146
O -6.971 -3.788 5.863
```

VASP calculation (GGA-PBE) on an optimized crystal structure of PaBeB.

Properties
* energy: -6.43 eV per atom
* offset from the most stable computed form: 0 meV per atom
* magnetization: 0.001 μB per cell

```
3
Lattice="0.000 2.857 2.857 2.857 0.000 2.857 2.857 2.857 0.000" Properties=species:S:1:pos:R:3 pbc="T T T"
B 0.000 0.000 0.000
Be 1.428 1.428 1.428
Pa 4.285 4.285 4.285
```

VASP calculation (GGA-PBE) on an optimized crystal structure of NaHfAgSe3.

Properties
* energy: -5.01 eV per atom
* offset from the most stable computed form: 84 meV per atom
* magnetization: 0.034 μB per cell

```
24
Lattice="-9.353 -8.062 -1.785 2.352 -2.944 0.971 -3.196 1.192 11.361" Properties=species:S:1:pos:R:3 pbc="T T T"
Ag -7.039 -6.502 1.239
Ag -2.652 -2.364 3.158
Ag -7.545 -7.450 7.389
Ag -3.157 -3.311 9.308
Hf -2.937 -5.605 1.821
Hf -8.149 -9.436 2.832
Hf -2.047 -0.378 7.715
Hf -7.259 -4.209 8.726
Na -6.264 -9.106 -0.735
Na -3.149 -4.492 5.707
Na -7.047 -5.321 4.840
Na -3.932 -0.708 11.282
Se -5.025 -5.270 0.096
Se -0.971 -4.022 1.856
Se -8.909 -8.255 0.455
Se -4.749 -4.031 3.185
Se -6.364 -7.785 3.512
Se -1.453 -0.826 4.915
Se -8.744 -8.987 5.632
Se -3.832 -2.029 7.035
Se -5.447 -5.783 7.362
Se -1.288 -1.559 10.092
Se -9.225 -5.792 8.691
Se -5.172 -4.544 10.451
```

Question: What is the formula in the second record?
Answer: BiAuNO

Repeat the third record exactly.
VASP calculation (GGA-PBE) on an optimized crystal structure of PaBeB.

Properties
* energy: -6.43 eV per atom
* offset from the most stable computed form: 0 meV per atom
* magnetization: 0.001 μB per cell

```
3
Lattice="0.000 2.857 2.857 2.857 0.000 2.857 2.857 2.857 0.000" Properties=species:S:1:pos:R:3 pbc="T T T"
B 0.000 0.000 0.000
Be 1.428 1.428 1.428
Pa 4.285 4.285 4.285
```

Question: energy of number 2 (BiAuNO)?
Answer: -4.81 eV per atom

Question: Among the records above, which one has the highest energy?
Answer: In2Ni9